This record from Alexandria via LeMat-Bulk describes CaGe after structural relaxation. The functional is PBE.

a b c (Å): 8.8563 8.8563 8.8563
angles (deg): 90.00 90.00 90.00
Space group I-43m (No. 217)
One atom of each set of equivalent atoms:
Ca  0.2059  0.2059  0.2059 (multiplicity 8)
Ge  0.1052  0.1052  0.8948 (multiplicity 8)

Raw total energy ... -3.31 eV/atom

This record from Alexandria via LeMat-Bulk describes CaGe3 after structural relaxation. The functional is PBE.

a b c (Å): 7.7086 7.7086 11.3693
angles (deg): 90.00 90.00 90.00
Space group I4/mmm (No. 139)
One atom of each set of equivalent atoms:
Ca  0.0000  0.0000  0.1668 (multiplicity 4)
Ca  0.0000  0.5000  0.2500 (multiplicity 4)
Ge  0.0000  0.3310  0.0000 (multiplicity 8)
Ge  0.1846  0.1846  0.3822 (multiplicity 16)

Raw total energy ... -4.24 eV/atom

This record from Alexandria via LeMat-Bulk describes Ca3Ge after structural relaxation. The functional is PBE.

a b c (Å): 4.8675 4.8675 4.8675
angles (deg): 90.00 90.00 90.00
Space group Pm-3m (No. 221)
One atom of each set of equivalent atoms:
Ca  0.0000  0.0000  0.5000 (multiplicity 3)
Ge  0.5000  0.5000  0.5000 (multiplicity 1)

Relative energy among the computed polymorphs ... 0.335 eV per formula unit

This record from Alexandria via LeMat-Bulk describes CaGe after structural relaxation. The functional is PBE.

a b c (Å): 3.4560 5.1165 6.0167
angles (deg): 77.41 73.61 89.99
Space group P-1 (No. 2)
One atom of each set of equivalent atoms:
Ca  0.1329  0.2227  0.2297 (multiplicity 2)
Ge  0.4092  0.3050  0.6850 (multiplicity 2)

Raw total energy ... -3.85 eV/atom

This record from Alexandria via LeMat-Bulk describes CaGe after structural relaxation. The functional is PBE.

a b c (Å): 10.9742 10.9742 3.9481
angles (deg): 90.00 90.00 90.00
Space group I4/mmm (No. 139)
One atom of each set of equivalent atoms:
Ca  0.0000  0.2778  0.0000 (multiplicity 8)
Ge  0.1977  0.1977  0.5000 (multiplicity 8)

Raw total energy ... -3.76 eV/atom

This record from Alexandria via LeMat-Bulk describes CaGe after structural relaxation. The functional is PBE.

a b c (Å): 4.0200 8.8372 5.8079
angles (deg): 90.00 90.00 90.00
Space group Imm2 (No. 44)
One atom of each set of equivalent atoms:
Ca  0.0000  0.2083  0.0000 (multiplicity 4)
Ge  0.0000  0.0000  0.4758 (multiplicity 2)
Ge  0.0000  0.5000  0.2699 (multiplicity 2)

Raw total energy ... -3.83 eV/atom

This record from Alexandria via LeMat-Bulk describes Ca7Ge after structural relaxation. The functional is PBE.

a b c (Å): 10.5087 10.5087 10.5087
angles (deg): 90.00 90.00 90.00
Space group Fm-3m (No. 225)
One atom of each set of equivalent atoms:
Ca  0.0000  0.0000  0.0000 (multiplicity 4)
Ca  0.0000  0.2500  0.2500 (multiplicity 24)
Ge  0.0000  0.0000  0.5000 (multiplicity 4)

Raw total energy ... -2.34 eV/atom

This record from Alexandria via LeMat-Bulk describes Ca2Ge after structural relaxation. The functional is PBE.

a b c (Å): 5.1306 5.1306 7.0464
angles (deg): 90.00 90.00 120.00
Space group P6_3mc (No. 186)
One atom of each set of equivalent atoms:
Ca  0.0000  0.0000  0.0000 (multiplicity 2)
Ca  0.3333  0.6667  0.2500 (multiplicity 2)
Ge  0.3333  0.6667  0.7490 (multiplicity 2)

Raw total energy ... -3.44 eV/atom

This record from Alexandria via LeMat-Bulk describes CaGe after structural relaxation. The functional is PBE.

a b c (Å): 4.5667 13.4328 6.5411
angles (deg): 90.00 90.00 90.00
Space group Cmcm (No. 63)
One atom of each set of equivalent atoms:
Ca  0.0000  0.0447  0.2500 (multiplicity 4)
Ca  0.0000  0.2246  0.7500 (multiplicity 4)
Ge  0.0000  0.4036  0.0535 (multiplicity 8)

Raw total energy ... -3.96 eV/atom

This record from Alexandria via LeMat-Bulk describes CaGe3 after structural relaxation. The functional is PBE.

a b c (Å): 4.1783 4.1783 10.9835
angles (deg): 90.00 90.00 90.00
Space group I4/mmm (No. 139)
One atom of each set of equivalent atoms:
Ca  0.0000  0.0000  0.0000 (multiplicity 2)
Ge  0.0000  0.0000  0.2794 (multiplicity 4)
Ge  0.0000  0.0000  0.5000 (multiplicity 2)

Raw total energy ... -4.02 eV/atom

This record from Alexandria via LeMat-Bulk describes CaGeH2 after structural relaxation. The functional is PBE.

a b c (Å): 4.3825 4.3825 11.8778
angles (deg): 90.00 90.00 90.00
Space group I-42d (No. 122)
One atom of each set of equivalent atoms:
Ca  0.0000  0.0000  0.0000 (multiplicity 4)
Ge  0.0000  0.0000  0.5000 (multiplicity 4)
H  0.1479  0.2500  0.6250 (multiplicity 8)

Relative energy among the computed polymorphs ... 0.000 eV per formula unit

This record from Alexandria via LeMat-Bulk describes Ca2GeH after structural relaxation. The functional is PBE.

a b c (Å): 3.9362 3.9362 20.2454
angles (deg): 90.00 90.00 120.00
Space group R-3m (No. 166, hexagonal axes)
One atom of each set of equivalent atoms:
Ca  0.0000  0.0000  0.2414 (multiplicity 6)
Ge  0.0000  0.0000  0.0000 (multiplicity 3)
H  0.0000  0.0000  0.5000 (multiplicity 3)

Relative energy among the computed polymorphs ... 0.588 eV per formula unit